# BiWO3

A relaxed structure of BiWO3 (PBE with a Hubbard U, the Alexandria database).

Results
Crystal system = cubic
Space group = Pm-3m (221)
Total magnetization = 4.18 μB per formula unit
DFT total energy = -5.1062 eV per atom

Geometry as POSCAR:
```
BiWO3
1.0
4.2665 0.0000 0.0000
0.0000 4.2665 0.0000
0.0000 0.0000 4.2665
O Bi W
3 1 1
Cartesian
0.0000 2.1333 0.0000
2.1333 0.0000 0.0000
0.0000 0.0000 2.1333
0.0000 0.0000 0.0000
2.1333 2.1333 2.1333
```